Record 1
## Li2Au2Cl7 (GGA-PBE)

Data for a relaxed Li2Au2Cl7 crystal.

Output
Uncorrected formation energy ... -745.2 meV per atom
Electronic total energy ... -2.864 eV per atom
Spin magnetization ... 0.4 Bohr magnetons per cell

abc: 7.157 6.958 6.958
angles: 112.77 86.01 86.01
Last column: magnetic moment on the atom in μB.
Fractional positions:
1 Li 0.500 0.335 0.665  0.00
2 Li 0.500 0.665 0.335  0.00
3 Au 0.198 0.718 0.718  0.08
4 Au 0.802 0.282 0.282  0.08
5 Cl 0.241 0.524 0.925  0.02
6 Cl 0.759 0.075 0.476  0.02
7 Cl 0.759 0.476 0.075  0.02
8 Cl 0.241 0.925 0.524  0.02
9 Cl 0.299 0.406 0.406  0.06
10 Cl 0.000 0.000 0.000  0.00
11 Cl 0.701 0.594 0.594  0.06

Record 2
## CoSi2Os2 (GGA-PBE)

Data for a relaxed CoSi2Os2 crystal.

Output
Polymorph energy (0 for the lowest one) ... 0 meV/atom
Uncorrected formation energy ... -55.6 meV per atom
Electronic total energy ... -8.138 eV per atom
Spin magnetization ... 3.3 Bohr magnetons per cell

abc: 6.908 6.908 2.805
angles: 90.00 90.00 90.00
Last column: magnetic moment on the atom in μB.
Fractional positions:
1 Co 0.000 0.000 0.000  1.59
2 Co 0.500 0.500 0.000  1.59
3 Si 0.355 0.855 0.000  0.00
4 Si 0.855 0.645 0.000  0.00
5 Si 0.645 0.145 0.000  0.00
6 Si 0.145 0.355 0.000  0.00
7 Os 0.154 0.654 0.500  0.06
8 Os 0.654 0.846 0.500  0.05
9 Os 0.846 0.346 0.500  0.06
10 Os 0.346 0.154 0.500  0.05

Record 3
## Cd3In3Pd2Au (GGA-PBE)

Data for a relaxed Cd3In3Pd2Au crystal.

Output
ΔE_f ... -228 meV per atom
Electronic total energy ... -2.964 eV per atom
Spin magnetization ... 0.0 Bohr magnetons per cell

abc: 3.551 7.774 7.774
angles: 120.00 90.00 90.00
Fractional positions:
1 Cd 0.500 0.717 0.000
2 Cd 0.500 0.000 0.717
3 Cd 0.500 0.283 0.283
4 In 0.000 0.610 0.610
5 In 0.000 0.000 0.390
6 In 0.000 0.390 0.000
7 Pd 0.500 0.667 0.333
8 Pd 0.500 0.333 0.667
9 Au 0.000 0.000 0.000

Record 4
## ZrFeRu2C (GGA-PBE)

Data for a relaxed ZrFeRu2C crystal.

Output
ΔE_f ... -264 meV per atom
Electronic total energy ... -9.222 eV per atom
Spin magnetization ... 0.0 Bohr magnetons per cell

abc: 4.093 3.892 4.093
angles: 90.00 90.00 90.00
Fractional positions:
1 Ru 0.000 0.000 0.500
2 Ru 0.500 0.000 0.000
3 C 0.000 0.000 0.000
4 Fe 0.000 0.500 0.000
5 Zr 0.500 0.500 0.500

Record 5
## MnRePdSe (GGA-PBE)

Data for a relaxed MnRePdSe crystal.

Output
Polymorph energy (0 for the lowest one) ... 26 meV/atom
Uncorrected formation energy ... 100.6 meV per atom
Electronic total energy ... -7.473 eV per atom
Spin magnetization ... 0.0 Bohr magnetons per cell

abc: 2.876 2.887 8.412
angles: 80.20 89.45 59.93
Fractional positions:
1 Mn 0.351 0.152 0.120
2 Re 0.089 0.666 0.355
3 Pd 0.502 0.829 0.619
4 Se 0.961 0.947 0.918

Record 6
## CrCdCo2 (GGA-PBE)

Data for a relaxed CrCdCo2 crystal.

Output
ΔE_f ... 651 meV per atom
Electronic total energy ... -5.536 eV per atom
Spin magnetization ... 0.0 Bohr magnetons per cell

abc: 6.554 6.554 5.350
angles: 52.23 52.23 90.00
Fractional positions:
1 Cr 0.500 0.500 0.000
2 Cr 0.250 0.750 0.500
3 Co 0.563 0.125 0.250
4 Co 0.187 0.625 0.250
5 Co 0.375 0.437 0.750
6 Co 0.875 0.813 0.750
7 Cd 0.000 0.000 0.000
8 Cd 0.750 0.250 0.500

Record 7
## Mo2P (GGA-PBE)

Data for a relaxed Mo2P crystal.

Output
Polymorph energy (0 for the lowest one) ... 433 meV/atom
ΔE_f ... 49 meV per atom
Electronic total energy ... -8.975 eV per atom
Spin magnetization ... 0.0 Bohr magnetons per cell

abc: 4.497 4.497 4.497
angles: 141.46 127.04 67.38
Fractional positions:
1 Mo 0.668 0.668 0.000
2 Mo 0.332 0.332 0.000
3 P 0.000 0.000 0.000

Record 8
## SmHfPd (GGA-PBE)

Data for a relaxed SmHfPd crystal.

Output
Polymorph energy (0 for the lowest one) ... 0 meV/atom
ΔE_f ... -480 meV per atom
Electronic total energy ... -7.101 eV per atom
Spin magnetization ... 0.0 Bohr magnetons per cell

abc: 3.381 3.381 13.005
angles: 105.19 105.19 89.75
Fractional positions:
1 Hf 0.331 0.331 0.581
2 Hf 0.669 0.669 0.419
3 Sm 0.626 0.626 0.877
4 Sm 0.374 0.374 0.123
5 Pd 0.956 0.956 0.706
6 Pd 0.044 0.044 0.294

Record 9
## ZnGa4Rh (GGA-PBE)

Data for a relaxed ZnGa4Rh crystal.

Output
Polymorph energy (0 for the lowest one) ... 0 meV/atom
ΔE_f ... -289 meV per atom
Electronic total energy ... -3.744 eV per atom
Spin magnetization ... 0.0 Bohr magnetons per cell

abc: 6.321 6.321 6.740
angles: 117.97 117.97 90.00
Fractional positions:
1 Zn 0.500 0.500 0.000
2 Zn 0.000 0.000 0.000
3 Ga 0.488 0.988 0.278
4 Ga 0.988 0.790 0.278
5 Ga 0.290 0.488 0.278
6 Ga 0.710 0.512 0.722
7 Ga 0.012 0.210 0.722
8 Ga 0.512 0.012 0.722
9 Ga 0.210 0.710 0.722
10 Ga 0.790 0.290 0.278
11 Rh 0.250 0.250 0.500
12 Rh 0.750 0.750 0.500

Record 10
## AcSn (GGA-PBE)

Data for a relaxed AcSn crystal.

Output
ΔE_f ... -622 meV per atom
Electronic total energy ... -4.678 eV per atom
Spin magnetization ... 0.0 Bohr magnetons per cell

abc: 3.862 5.960 5.960
angles: 101.56 90.00 90.00
Fractional positions:
1 Ac 0.500 0.772 0.228
2 Ac 0.500 0.228 0.772
3 Sn 0.000 0.287 0.287
4 Sn 0.000 0.713 0.713

Record 11
## Li2Ac3CdPd6 (GGA-PBE)

Data for a relaxed Li2Ac3CdPd6 crystal.

Output
ΔE_f ... -619 meV per atom
Electronic total energy ... -4.637 eV per atom
Spin magnetization ... 0.0 Bohr magnetons per cell

abc: 5.965 5.965 8.878
angles: 90.00 90.00 120.00
Fractional positions:
1 Li 0.667 0.333 0.980
2 Li 0.333 0.667 0.020
3 Ac 0.333 0.667 0.617
4 Ac 0.667 0.333 0.383
5 Ac 0.000 0.000 0.000
6 Cd 0.000 0.000 0.500
7 Pd 0.646 0.823 0.267
8 Pd 0.177 0.354 0.267
9 Pd 0.177 0.823 0.267
10 Pd 0.823 0.646 0.733
11 Pd 0.354 0.177 0.733
12 Pd 0.823 0.177 0.733

Record 12
## Er2ZnS (GGA-PBE)

Data for a relaxed Er2ZnS crystal.

Output
Polymorph energy (0 for the lowest one) ... 0 meV/atom
Uncorrected formation energy ... -1153.8 meV per atom
Electronic total energy ... -4.786 eV per atom
Spin magnetization ... 0.0 Bohr magnetons per cell

abc: 4.072 3.843 11.258
angles: 99.83 90.00 90.00
Fractional positions:
1 Er 0.750 0.684 0.369
2 Er 0.250 0.316 0.631
3 Er 0.750 0.927 0.854
4 Er 0.250 0.073 0.146
5 Zn 0.250 0.461 0.923
6 Zn 0.750 0.539 0.077
7 S 0.250 0.194 0.388
8 S 0.750 0.806 0.612

Record 13
## Mn3H (GGA-PBE)

Data for a relaxed Mn3H crystal.

Output
Polymorph energy (0 for the lowest one) ... 0 meV/atom
Electronic total energy ... -7.510 eV per atom
Spin magnetization ... 0.1 Bohr magnetons per cell

abc: 2.495 4.208 4.213
angles: 119.95 107.22 90.00
Last column: magnetic moment on the atom in μB.
Fractional positions:
1 H 0.000 0.017 0.000  0.01
2 Mn 0.314 0.693 0.628  -0.81
3 Mn 0.500 0.391 0.000  1.73
4 Mn 0.686 0.066 0.372  -0.81

Record 14
## SiTe2OsN (GGA-PBE)

Data for a relaxed SiTe2OsN crystal.

Output
Polymorph energy (0 for the lowest one) ... 0 meV/atom
Uncorrected formation energy ... 564.2 meV per atom
Electronic total energy ... -5.688 eV per atom
Spin magnetization ... 0.0 Bohr magnetons per cell

abc: 5.455 5.455 3.672
angles: 90.00 90.00 90.00
Fractional positions:
1 Si 0.500 0.500 0.500
2 Te 0.000 0.500 0.000
3 Te 0.500 0.000 0.000
4 Os 0.000 0.000 0.000
5 N 0.000 0.000 0.500

Record 15
## LaZr2Te (GGA-PBE)

Data for a relaxed LaZr2Te crystal.

Output
Uncorrected formation energy ... -217.7 meV per atom
Electronic total energy ... -6.509 eV per atom
Spin magnetization ... 0.0 Bohr magnetons per cell

abc: 6.311 6.311 6.311
angles: 145.56 133.14 59.44
Fractional positions:
1 La 0.502 0.502 0.000
2 Te 0.224 0.724 0.500
3 Zr 0.014 0.014 0.000
4 Zr 0.760 0.260 0.500

Record 16
## In8Ag2Pd3 (GGA-PBE)

Data for a relaxed In8Ag2Pd3 crystal.

Output
ΔE_f ... -239 meV per atom
Electronic total energy ... -3.561 eV per atom
Spin magnetization ... 0.0 Bohr magnetons per cell

abc: 4.661 9.284 8.122
angles: 124.88 90.00 90.00
Fractional positions:
1 In 0.000 0.619 0.239
2 In 0.000 0.381 0.761
3 In 0.000 0.126 0.253
4 In 0.000 0.874 0.747
5 In 0.500 0.621 0.755
6 In 0.500 0.135 0.755
7 In 0.500 0.865 0.245
8 In 0.500 0.379 0.245
9 Ag 0.500 0.250 0.499
10 Ag 0.500 0.750 0.501
11 Pd 0.500 0.000 0.000
12 Pd 0.000 0.247 0.999
13 Pd 0.000 0.753 0.001

Record 17
## Tb6Sm4Mg (GGA-PBE)

Data for a relaxed Tb6Sm4Mg crystal.

Output
ΔE_f ... 276 meV per atom
Electronic total energy ... -4.111 eV per atom
Spin magnetization ... 0.0 Bohr magnetons per cell

abc: 9.750 9.750 9.750
angles: 56.52 140.88 140.88
Fractional positions:
1 Tb 0.000 0.803 0.456
2 Tb 0.000 0.456 0.803
3 Tb 0.347 0.544 0.544
4 Tb 0.500 0.500 0.000
5 Tb 0.653 0.197 0.197
6 Tb 0.500 0.000 0.500
7 Sm 0.000 0.642 0.010
8 Sm 0.368 0.358 0.358
9 Sm 0.000 0.010 0.642
10 Sm 0.632 0.990 0.990
11 Mg 0.000 0.000 0.000

Record 18
## NaSrSe2Br (GGA-PBE)

Data for a relaxed NaSrSe2Br crystal.

Output
Polymorph energy (0 for the lowest one) ... 0 meV/atom
Uncorrected formation energy ... -773.2 meV per atom
Electronic total energy ... -3.102 eV per atom
Spin magnetization ... 0.0 Bohr magnetons per cell

abc: 5.109 5.109 5.670
angles: 90.00 90.00 90.00
Fractional positions:
1 Sr 0.500 0.500 0.500
2 Se 0.000 0.500 0.000
3 Se 0.500 0.000 0.000
4 Br 0.000 0.000 0.500
5 Na 0.000 0.000 0.000

Record 19
## NaPd6Se2 (GGA-PBE)

Data for a relaxed NaPd6Se2 crystal.

Output
Uncorrected formation energy ... -272.7 meV per atom
Electronic total energy ... -4.655 eV per atom
Spin magnetization ... 0.0 Bohr magnetons per cell

abc: 4.100 4.100 9.814
angles: 90.00 90.00 90.00
Fractional positions:
1 Na 0.000 0.000 0.000
2 Pd 0.000 0.500 0.303
3 Pd 0.500 0.000 0.303
4 Pd 0.000 0.500 0.697
5 Pd 0.500 0.000 0.697
6 Pd 0.500 0.500 0.500
7 Pd 0.000 0.000 0.500
8 Se 0.500 0.500 0.159
9 Se 0.500 0.500 0.841

Record 20
## Y3Er7Th2 (GGA-PBE)

Data for a relaxed Y3Er7Th2 crystal.

Output
ΔE_f ... 302 meV per atom
Electronic total energy ... -5.212 eV per atom
Spin magnetization ... 0.0 Bohr magnetons per cell

abc: 4.567 5.401 16.375
angles: 99.49 90.00 90.00
Fractional positions:
1 Y 0.500 0.500 0.000
2 Y 0.500 0.653 0.306
3 Y 0.500 0.347 0.694
4 Er 0.000 0.421 0.841
5 Er 0.000 0.730 0.459
6 Er 0.000 0.000 0.000
7 Er 0.000 0.579 0.159
8 Er 0.500 0.079 0.159
9 Er 0.500 0.921 0.841
10 Er 0.000 0.270 0.541
11 Th 0.000 0.841 0.682
12 Th 0.000 0.159 0.318